Record 1
5
Lattice="4.231 0.000 0.000 0.000 4.231 0.000 0.000 0.000 4.075" Properties=species:S:1:pos:R:3 comment="CuAgOF2 | Alexandria via LeMat-Bulk | PBE | optimized geometry" formation_energy_uncorrected_ev_per_atom=-0.235 pbc="T T T"
O 0.000 0.000 2.037
Ag 0.000 0.000 0.000
F 2.115 0.000 0.000
F 0.000 2.115 0.000
Cu 2.115 2.115 2.037

Record 2
5
Lattice="-1.590 -2.773 -0.765 1.513 -0.063 -2.917 6.151 -5.880 1.465" Properties=species:S:1:pos:R:3 comment="Li2Hf2P | Alexandria via LeMat-Bulk | PBE | optimized geometry" delta_e_f_ev_per_atom=-0.07 pbc="T T T"
Li 3.812 -3.680 -1.647
P 0.000 0.000 0.000
Hf 5.030 -6.517 -0.954
Li 2.261 -5.035 -0.571
Hf 1.043 -2.198 -1.263

Record 3
4
Lattice="-4.304 -0.553 0.075 -3.240 -1.214 -2.620 -0.305 -5.128 1.138" Properties=species:S:1:pos:R:3 comment="Os2SeCl | Alexandria via LeMat-Bulk | PBE | optimized geometry" formation_energy_uncorrected_ev_per_atom=0.934 pbc="T T T"
Cl -1.962 -1.724 -0.352
Os -3.904 -3.567 -0.666
Os -0.325 -5.008 1.100
Se -5.886 -5.171 -1.056

no.,relative energy among the computed polymorphs (meV per atom)
1,555
2,9
3,710